19
Lattice="-5.038 5.038 5.038 5.038 -5.038 5.038 5.038 5.038 -5.038" Properties=species:S:1:pos:R:3 comment="Nd12Ni6Sb | the Alexandria database | PBE | optimized geometry" dos_at_fermi_per_ev_cell=19.63 total_energy_ev_per_cell=-102.2 rho_g_cm3=7.16 pbc="T T T"
Nd 5.038 -1.939 3.161
Nd 3.099 1.877 0.000
Nd 6.978 1.877 0.000
Nd 3.161 5.038 -1.939
Nd 1.877 0.000 3.099
Nd 0.000 3.099 1.877
Nd 5.038 1.939 3.161
Nd 3.161 5.038 1.939
Nd 1.877 0.000 6.978
Nd -1.939 3.161 5.038
Nd 1.939 3.161 5.038
Nd 0.000 6.978 1.877
Ni 5.038 0.000 1.222
Ni 5.038 3.816 0.000
Ni 1.222 5.038 0.000
Ni 3.816 0.000 5.038
Ni 0.000 1.222 5.038
Ni 0.000 5.038 3.816
Sb 0.000 0.000 0.000

6
Lattice="-1.416 1.416 14.428 1.416 -1.416 14.428 1.416 1.416 -14.428" Properties=species:S:1:pos:R:3 comment="Cd2W | the Alexandria database | PBE | optimized geometry" dos_at_fermi_per_ev_cell=2.31 de_polymorph_ev_per_atom=0.071 total_energy_ev_per_cell=-26.5 e_form_ev_per_atom=0.51 rho_g_cm3=11.73 pbc="T T T"
Cd 1.416 0.708 1.339
Cd 1.416 0.708 5.875
Cd 0.000 0.708 8.554
Cd 0.000 0.708 13.089
W 1.416 -0.708 10.821
W 0.000 2.124 3.607